(1)
12
Lattice="13.182 0.000 0.000 0.000 5.192 0.000 0.000 0.000 6.424" Properties=species:S:1:pos:R:3 comment="BaP (GGA-PBE, optimized geometry)" dos_ef_per_ev_cell=5.9 total_energy_ha_per_atom=-0.1647 pbc="T T T"
P 8.558 2.596 1.205
P 6.591 2.596 0.002
P 4.624 2.596 1.205
P 0.000 0.000 3.214
P 11.215 0.000 4.417
P 1.967 0.000 4.417
Ba 6.591 0.000 1.630
Ba 4.078 2.596 4.409
Ba 9.104 2.596 4.409
Ba 2.513 0.000 1.197
Ba 10.669 0.000 1.197
Ba 0.000 2.596 4.842


(2)
6
Lattice="-4.296 5.747 -2.790 1.817 -7.461 0.545 -2.905 -0.448 3.550" Properties=species:S:1:pos:R:3 comment="BaP5 (GGA-PBE, optimized geometry)" dos_ef_per_ev_cell=1.6 total_energy_ha_per_atom=-0.1808 polymorph_energy_mev_per_atom=302 pbc="T T T"
Ba 1.786 -7.394 0.528
P -2.678 2.252 -1.907
P -0.544 -5.723 1.824
P -0.174 -3.160 -0.541
P -1.937 -2.712 1.065
P -4.172 2.117 -0.155


(3)
8
Lattice="0.000 5.853 5.853 5.853 0.000 5.853 5.853 5.853 0.000" Properties=species:S:1:pos:R:3 comment="Ba7P (GGA-PBE, optimized geometry)" dos_ef_per_ev_cell=9.5 total_energy_ha_per_atom=-0.0844 pbc="T T T"
Ba 5.853 2.927 2.927
Ba 2.927 2.927 5.853
Ba 2.927 5.853 2.927
Ba 2.927 2.927 0.000
Ba 5.853 5.853 5.853
Ba 2.927 0.000 2.927
Ba 0.000 2.927 2.927
P 0.000 0.000 0.000


(4)
7
Lattice="-7.332 1.961 3.323 0.887 -7.097 -4.183 1.123 -2.024 3.673" Properties=species:S:1:pos:R:3 comment="Ba3P4 (GGA-PBE, optimized geometry)" dos_ef_per_ev_cell=9.3 total_energy_ha_per_atom=-0.1599 polymorph_energy_mev_per_atom=512 pbc="T T T"
Ba -3.222 -2.568 -0.430
Ba -3.666 0.980 1.662
Ba 0.444 -3.548 -2.092
P 0.278 -0.501 0.909
P 0.845 -1.523 2.764
P -4.031 -2.071 2.658
P -1.291 -5.090 0.155


(5)
4
Lattice="-5.264 -1.962 5.334 -7.027 -2.480 2.118 -4.739 -5.087 3.417" Properties=species:S:1:pos:R:3 comment="BaP3 (GGA-PBE, optimized geometry)" dos_ef_per_ev_cell=3.6 total_energy_ha_per_atom=-0.1659 pbc="T T T"
P -3.811 -2.133 2.433
P -8.515 -4.765 5.435
P -13.219 -7.397 8.437
Ba 0.000 0.000 0.000


(6)
4
Lattice="-3.523 0.982 0.149 -0.824 -2.538 -2.757 -1.036 -4.373 4.336" Properties=species:S:1:pos:R:3 comment="BaP3 (GGA-PBE, optimized geometry)" dos_ef_per_ev_cell=2.2 total_energy_ha_per_atom=-0.1672 pbc="T T T"
P -0.518 -2.187 2.168
P -2.516 -2.222 0.128
P -2.868 -3.707 1.600
Ba 0.000 0.000 0.000


(7)
8
Lattice="-1.966 6.763 -0.471 -6.668 0.842 -2.156 -2.720 1.077 3.807" Properties=species:S:1:pos:R:3 comment="BaP3 (GGA-PBE, optimized geometry)" total_energy_ha_per_atom=-0.1912 pbc="T T T"
Ba -3.363 2.060 2.148
Ba -7.992 6.623 -0.967
P -4.733 6.124 -0.033
P -6.622 2.559 1.214
P -4.436 5.310 1.997
P -6.190 4.160 2.656
P -5.165 4.522 -1.475
P -6.919 3.372 -0.816


(8)
16
Lattice="6.080 0.000 0.000 0.000 8.420 0.000 0.000 0.000 10.438" Properties=species:S:1:pos:R:3 comment="BaP (GGA-PBE, optimized geometry)" total_energy_ha_per_atom=-0.1705 pbc="T T T"
P 5.413 3.937 9.583
P 2.373 3.937 6.074
P 3.707 8.147 9.583
P 0.667 8.147 6.074
P 3.707 4.484 4.364
P 2.373 0.273 0.855
P 5.413 0.273 4.364
P 0.667 4.484 0.855
Ba 3.695 5.710 1.311
Ba 3.695 6.920 6.529
Ba 0.655 6.920 9.127
Ba 0.655 5.710 3.908
Ba 5.425 2.710 6.529
Ba 2.385 1.500 3.908
Ba 5.425 1.500 1.311
Ba 2.385 2.710 9.127